{
  "formula": "PaGeP2Ru5",
  "functional": "GGA-PBE",
  "state": "optimized geometry",
  "cell": [[4.0814, 0.0000, 0.0000], [0.0000, 4.0814, 0.0000], [0.0000, 0.0000, 8.1839]],
  "species": ["P", "Ru", "P", "Ge", "Ru", "Ru", "Ru", "Pa", "Ru"],
  "fractional_positions": [[0.5000, 0.5000, 0.8578], [0.5000, 0.0000, 0.2801], [0.5000, 0.5000, 0.1422], [0.0000, 0.0000, 0.5000], [0.0000, 0.5000, 0.2801], [0.5000, 0.5000, 0.5000], [0.5000, 0.0000, 0.7199], [0.0000, 0.0000, 0.0000], [0.0000, 0.5000, 0.7199]],
  "spacegroup": "P4/mmm, No. 123",
  "n_ef_per_ev_fu": 6.03,
  "formation_energy_ev_per_atom": -0.52
}



{
  "formula": "PaGe2PRu2",
  "functional": "GGA-PBE",
  "state": "optimized geometry",
  "cell": [[4.4593, 0.0000, 0.0000], [0.0000, 4.4593, 0.0000], [0.0000, 0.0000, 5.4136]],
  "species": ["Ge", "Pa", "Ge", "Ru", "P", "Ru"],
  "fractional_positions": [[0.5000, 0.5000, 0.2755], [0.0000, 0.0000, 0.5000], [0.5000, 0.5000, 0.7245], [0.0000, 0.5000, 0.0000], [0.0000, 0.0000, 0.0000], [0.5000, 0.0000, 0.0000]],
  "spacegroup": "P4/mmm, No. 123",
  "n_ef_per_ev_fu": 7.44,
  "formation_energy_ev_per_atom": -0.26
}



{
  "formula": "Pa3GeP2Ru9",
  "functional": "GGA-PBE",
  "state": "optimized geometry",
  "cell": [[-0.7126, -5.2659, 3.0173], [4.8587, 0.8168, -3.6149], [4.4484, 3.2440, 6.7121]],
  "species": ["Pa", "Ru", "Ge", "Ru", "Ru", "Ru", "Ru", "Ru", "Ru", "Ru", "Pa", "P", "Pa", "Ru", "P"],
  "fractional_positions": [[0.0000, 0.0000, 0.0000], [0.0000, 0.5000, 0.0000], [0.0000, 0.0000, 0.5000], [0.5000, 0.5000, 0.0000], [0.1472, 0.2944, 0.2730], [0.1472, 0.8528, 0.2730], [0.8528, 0.1472, 0.7270], [0.5000, 0.0000, 0.0000], [0.7056, 0.8528, 0.2730], [0.2944, 0.1472, 0.7270], [0.6667, 0.3333, 0.2831], [0.6667, 0.3333, 0.8307], [0.3333, 0.6667, 0.7169], [0.8528, 0.7056, 0.7270], [0.3333, 0.6667, 0.1693]],
  "spacegroup": "P-3m1, No. 164",
  "n_ef_per_ev_fu": 10.29,
  "formation_energy_ev_per_atom": -0.25
}



{
  "formula": "Pa2GePRu6",
  "functional": "GGA-PBE",
  "state": "optimized geometry",
  "cell": [[5.5698, 0.0000, 0.0000], [0.0000, 7.8310, 0.0000], [0.0000, 0.0000, 8.4543]],
  "species": ["Pa", "Ru", "Ru", "P", "Ge", "Ru", "Ru", "Ge", "Ru", "Pa", "Pa", "Ru", "Ru", "Ru", "Ru", "Pa", "P", "Ru", "Ru", "Ru"],
  "fractional_positions": [[0.0000, 0.2831, 0.7378], [0.7435, 0.4283, 0.5000], [0.2435, 0.5717, 0.0000], [0.0000, 0.8139, 0.0000], [0.0000, 0.6794, 0.5000], [0.2647, 0.9164, 0.5000], [0.0000, 0.9473, 0.7520], [0.5000, 0.3206, 0.0000], [0.5000, 0.0527, 0.2520], [0.0000, 0.2831, 0.2622], [0.5000, 0.7169, 0.2378], [0.0000, 0.9473, 0.2480], [0.7353, 0.9164, 0.5000], [0.7565, 0.5717, 0.0000], [0.2565, 0.4283, 0.5000], [0.5000, 0.7169, 0.7622], [0.5000, 0.1861, 0.5000], [0.2353, 0.0836, 0.0000], [0.7647, 0.0836, 0.0000], [0.5000, 0.0527, 0.7480]],
  "spacegroup": "Pmmn, No. 59",
  "n_ef_per_ev_fu": 5.98,
  "formation_energy_ev_per_atom": -0.26
}



Number 1: magnetization 0.13 μB/atom. Number 2: magnetization 0.25 μB/atom. Number 3: magnetization 0.00 μB/atom. Number 4: magnetization 0.00 μB/atom.